[1]
Below is an optimized crystal structure of Tb2PmSm6Dy, with properties calculated at the PBE level.

```
20
Lattice="-9.072 1.604 -2.930 -2.036 -7.642 4.089 0.344 7.391 4.952" Properties=species:S:1:pos:R:3 pbc="T T T"
Sm -6.052 5.174 0.855
Sm -2.829 -3.923 1.844
Sm -6.375 2.470 3.699
Sm -4.390 -1.117 2.412
Sm -10.277 -3.401 2.047
Sm -0.487 4.754 4.064
Sm -8.411 2.940 1.134
Sm -7.936 5.276 4.267
Sm -2.353 -1.587 4.977
Sm -4.712 -3.821 5.256
Sm -4.230 5.347 4.060
Sm -6.535 -3.994 2.051
Dy -7.866 -0.282 2.245
Dy -2.899 1.635 3.866
Tb -0.957 -0.748 2.087
Tb -5.512 -0.217 5.402
Tb -9.808 2.101 4.024
Tb -5.253 1.570 0.709
Pm -4.243 -6.857 3.379
Pm -6.522 8.210 2.732
```

Summary:
Energy of formation (eV/f.u.): 1.2
Density of states at the Fermi level (states/eV per atom): 1.408
Crystal system: monoclinic



[2]
Below is an optimized crystal structure of Tb2PmSm6Dy3, with properties calculated at the PBE level.

```
12
Lattice="-4.316 -3.805 2.397 5.326 -2.346 -2.232 4.581 3.134 10.530" Properties=species:S:1:pos:R:3 pbc="T T T"
Tb 2.111 -2.832 -0.689
Tb -1.102 -3.318 0.853
Sm 5.795 -2.016 7.232
Sm 3.015 -0.513 1.916
Sm 3.681 0.811 7.924
Sm -0.204 -1.000 3.461
Sm 1.909 -3.827 2.770
Sm 2.576 -2.504 8.778
Dy 2.795 -1.508 5.347
Dy 6.008 -1.022 3.804
Dy -0.418 -1.994 6.889
Pm 0.000 0.000 0.000
```

Summary:
Energy of formation (eV/f.u.): 0.2
Density of states at the Fermi level (states/eV per atom): 1.270
Crystal system: monoclinic



[3]
Below is an optimized crystal structure of Tb4Pm2SmDy, with properties calculated at the PBE level.

```
16
Lattice="9.396 -0.010 -1.674 -0.017 9.396 -1.674 -6.006 -6.011 8.258" Properties=species:S:1:pos:R:3 pbc="T T T"
Tb -0.648 -0.645 3.266
Tb 7.072 2.312 -1.673
Tb 4.021 4.020 1.644
Tb -3.699 1.063 6.583
Tb 2.331 2.336 -0.811
Tb -0.638 4.010 2.454
Tb 4.011 -0.635 2.456
Tb 1.042 1.039 5.721
Pm 4.690 4.693 -1.674
Pm 1.695 -3.010 3.292
Pm -3.003 -3.005 4.129
Pm 4.698 -0.005 -0.837
Dy 3.390 -6.021 6.584
Dy 1.686 1.688 2.455
Sm 6.385 1.682 1.618
Sm -0.009 4.698 -0.837
```

Summary:
Energy of formation (eV/f.u.): 3.3
Density of states at the Fermi level (states/eV per atom): 2.268
Crystal system: monoclinic



[4]
Below is an optimized crystal structure of Tb2Pm3Sm6Dy, with properties calculated at the PBE level.

```
12
Lattice="6.264 0.000 0.009 -3.131 5.425 0.009 -1.061 -1.838 11.793" Properties=species:S:1:pos:R:3 pbc="T T T"
Sm -0.013 3.592 8.891
Sm 2.087 3.613 2.930
Sm 3.117 1.784 8.891
Sm -0.015 -0.026 8.881
Sm 2.085 -0.004 2.920
Sm -1.045 1.804 2.920
Tb 0.001 3.617 0.009
Tb 3.132 1.808 0.009
Dy 0.000 0.000 0.000
Pm 1.036 1.794 5.906
Pm 4.168 -0.015 5.906
Pm -2.096 3.602 5.906
```

Summary:
Energy of formation (eV/f.u.): 0.2
Density of states at the Fermi level (states/eV per atom): 1.356
Crystal system: monoclinic